CdAg2F8 | PBE-GGA | relaxed

a = 10.279 Å, b = 7.615 Å, c = 9.452 Å
α = 90.00°, β = 103.62°, γ = 90.00°
Space group C2/c (No. 15)
Inequivalent atoms, fractional coordinates:
Cd  0.000  0.249  0.250
Ag  0.248  0.005  0.041
F  0.126  0.324  0.494
F  0.127  0.006  0.345
F  0.135  0.496  0.763
F  0.137  0.200  0.084

**E_tot**: -3.295 eV per atom
**Energy above the most stable polymorph in this dataset**: 0 meV per atom
**Formation energy from raw total energies**: -14.66 eV per formula unit


TmHPt3 | PBE-GGA | relaxed

a = 4.145 Å, b = 4.145 Å, c = 4.145 Å
α = 90.00°, β = 90.00°, γ = 90.00°
Space group Pm-3m (No. 221)
Inequivalent atoms, fractional coordinates:
Tm  0.000  0.000  0.000
H  0.500  0.500  0.500
Pt  0.000  0.500  0.500

**E_tot**: -5.994 eV per atom
**Energy above the most stable polymorph in this dataset**: 53 meV per atom


- What is the energy above the most stable polymorph in this dataset in the first record?
  0 meV per atom


- What is the energy above the most stable polymorph in this dataset in the first record?
  0 meV per atom


What did the first record say?
CdAg2F8 | PBE-GGA | relaxed

a = 10.279 Å, b = 7.615 Å, c = 9.452 Å
α = 90.00°, β = 103.62°, γ = 90.00°
Space group C2/c (No. 15)
Inequivalent atoms, fractional coordinates:
Cd  0.000  0.249  0.250
Ag  0.248  0.005  0.041
F  0.126  0.324  0.494
F  0.127  0.006  0.345
F  0.135  0.496  0.763
F  0.137  0.200  0.084

**E_tot**: -3.295 eV per atom
**Energy above the most stable polymorph in this dataset**: 0 meV per atom
**Formation energy from raw total energies**: -14.66 eV per formula unit


- Look up the E_tot of the second one.
  -5.994 eV per atom